The following is a PBE calculation of crystalline KBeP at its relaxed geometry, from the Alexandria database.

abc: 3.7202 6.0470 6.6545
angles: 104.95 106.11 90.13
Fractional coordinates of all 6 atoms:
1 K 0.0884 0.3136 0.1804
2 K 0.9116 0.6864 0.8196
3 Be 0.2152 0.9160 0.4299
4 Be 0.7848 0.0840 0.5701
5 P 0.3588 0.2001 0.7182
6 P 0.6412 0.7999 0.2818

spin magnetization = 0.00 μB/cell
volume = 23.085 A^3/atom
formation energy = -45 kJ/mol of atoms
calculated total energy = -3.876 eV/atom

=====

The following is a PBE calculation of crystalline Cu5Te at its relaxed geometry, from the Alexandria database.

abc: 3.7806 6.2159 6.2159
angles: 35.76 90.00 90.00
Fractional coordinates of all 6 atoms:
1 Cu 0.0000 0.0000 0.0000
2 Cu 0.0000 0.3199 0.3199
3 Cu 0.0000 0.6788 0.6788
4 Cu 0.5000 0.1745 0.1745
5 Cu 0.5000 0.8248 0.8248
6 Te 0.5000 0.4993 0.4993

spin magnetization = 0.00 μB/cell
volume = 14.226 A^3/atom
offset from the most stable computed form = 0.000 eV/atom
ΔE_f (raw) = 0.0985 eV per atom
calculated total energy = -3.839 eV/atom

=====

The following is a PBE calculation of crystalline SmBAs at its relaxed geometry, from the Alexandria database.

abc: 5.4377 5.4377 7.4988
angles: 122.25 122.25 38.20
Fractional coordinates of all 6 atoms:
1 Sm 0.0000 0.0000 0.0000
2 Sm 0.5000 0.5000 0.5000
3 B 0.2425 0.2425 0.5367
4 B 0.7575 0.7575 0.4633
5 As 0.2308 0.2308 0.8186
6 As 0.7692 0.7692 0.1814

spin magnetization = 0.00 μB/cell
volume = 18.859 A^3/atom
formation energy = -45 kJ/mol of atoms
calculated total energy = -5.811 eV/atom

=====

The following is a PBE calculation of crystalline ZrZnSb2 at its relaxed geometry, from the Alexandria database.

abc: 3.2084 3.2084 9.3822
angles: 90.00 90.00 90.00
Fractional coordinates of all 4 atoms:
1 Zr 0.0000 0.0000 0.0000
2 Zn 0.5000 0.5000 0.8057
3 Sb 0.0000 0.0000 0.6067
4 Sb 0.5000 0.5000 0.2412

spin magnetization = 0.00 μB/cell
volume = 24.144 A^3/atom
ΔE_f (raw) = -0.1180 eV per atom
calculated total energy = -4.635 eV/atom

=====

The following is a PBE calculation of crystalline LiLaCr3 at its relaxed geometry, from the Alexandria database.

abc: 4.5048 4.5048 4.5048
angles: 90.00 90.00 90.00
Fractional coordinates of all 5 atoms:
1 Li 0.0000 0.0000 0.0000
2 La 0.5000 0.5000 0.5000
3 Cr 0.0000 0.5000 0.5000
4 Cr 0.5000 0.0000 0.5000
5 Cr 0.5000 0.5000 0.0000

spin magnetization = 0.00 μB/cell
volume = 18.283 A^3/atom
offset from the most stable computed form = 0.987 eV/atom
formation energy = 190 kJ/mol of atoms
calculated total energy = -5.168 eV/atom

=====

The following is a PBE calculation of crystalline ScGa2Ag at its relaxed geometry, from the Alexandria database.

abc: 4.6746 4.6746 4.6746
angles: 60.00 60.00 60.00
Fractional coordinates of all 4 atoms:
1 Sc 0.0000 0.0000 0.0000
2 Ga 0.2500 0.2500 0.2500
3 Ga 0.7500 0.7500 0.7500
4 Ag 0.5000 0.5000 0.5000

spin magnetization = 0.00 μB/cell
volume = 18.058 A^3/atom
offset from the most stable computed form = 0.091 eV/atom
formation energy = -30 kJ/mol of atoms
calculated total energy = -4.116 eV/atom

=====

The following is a PBE calculation of crystalline Eu2Ho4N at its relaxed geometry, from the Alexandria database.

abc: 9.8535 9.8535 9.8535
angles: 151.39 151.39 40.91
Fractional coordinates of all 7 atoms:
1 Eu 0.1729 0.1729 0.0000
2 Eu 0.8271 0.8271 0.0000
3 Ho 0.0000 0.5000 0.5000
4 Ho 0.3764 0.3764 0.0000
5 Ho 0.5000 0.0000 0.5000
6 Ho 0.6236 0.6236 0.0000
7 N 0.5000 0.5000 0.0000

spin magnetization = 16.16 μB/cell
volume = 31.279 A^3/atom
ΔE_f (raw) = -0.2559 eV per atom
calculated total energy = -6.997 eV/atom

=====

The following is a PBE calculation of crystalline LiAc2PtO6 at its relaxed geometry, from the Alexandria database.

abc: 5.7309 5.7468 9.9049
angles: 90.00 125.36 90.00
Fractional coordinates of all 20 atoms:
1 Li 0.0000 0.0000 0.0000
2 Li 0.0000 0.5000 0.5000
3 Ac 0.2547 0.0372 0.7492
4 Ac 0.2547 0.4628 0.2492
5 Ac 0.7453 0.5372 0.7508
6 Ac 0.7453 0.9628 0.2508
7 Pt 0.5000 0.0000 0.5000
8 Pt 0.5000 0.5000 0.0000
9 O 0.1896 0.0114 0.2554
10 O 0.1896 0.4886 0.7554
11 O 0.2583 0.7092 0.0361
12 O 0.2583 0.7908 0.5361
13 O 0.3281 0.2214 0.0353
14 O 0.3281 0.2786 0.5353
15 O 0.6719 0.7214 0.4647
16 O 0.6719 0.7786 0.9647
17 O 0.7417 0.2092 0.4639
18 O 0.7417 0.2908 0.9639
19 O 0.8104 0.5114 0.2446
20 O 0.8104 0.9886 0.7446

spin magnetization = 1.92 μB/cell
volume = 13.302 A^3/atom
ΔE_f (raw) = -2.2367 eV per atom
calculated total energy = -6.829 eV/atom

=====

no.,DOS(E_F) (states/eV/f.u.)
1,0.0
2,1.0
3,0.9
4,1.7
5,12.6
6,0.4
7,20.9
8,8.2